Entry 1:
The following is a DFT calculation (GGA-PBE) of Li2NpBr5 after structural relaxation.

Cell: 7.2116 7.2116 14.2662 Å, 90.00 90.00 135.12°
Last column: nearest neighbours and their distance in Å.
Fractional positions:
Li1 0.1483 0.8517 0.5299  5 Br 2.58-2.86
Li2 0.1483 0.8517 0.9701  5 Br 2.58-2.86
Li3 0.8517 0.1483 0.0299  5 Br 2.58-2.86
Li4 0.8517 0.1483 0.4701  5 Br 2.58-2.86
Np1 0.1984 0.8016 0.2500  6 Br 2.83-2.97
Np2 0.8016 0.1984 0.7500  6 Br 2.83-2.97
Br1 0.0387 0.9613 0.1194  2 Li 2.58-2.80, 1 Np 2.83
Br2 0.0387 0.9613 0.3806  2 Li 2.58-2.80, 1 Np 2.83
Br3 0.2363 0.7637 0.7500  2 Np 2.89
Br4 0.3177 0.6823 0.0738  3 Li 2.70-2.86, 1 Np 2.97
Br5 0.3177 0.6823 0.4262  3 Li 2.70-2.86, 1 Np 2.97
Br6 0.6823 0.3177 0.5738  3 Li 2.70-2.86, 1 Np 2.97
Br7 0.6823 0.3177 0.9262  3 Li 2.70-2.86, 1 Np 2.97
Br8 0.7637 0.2363 0.2500  2 Np 2.89
Br9 0.9613 0.0387 0.6194  2 Li 2.58-2.80, 1 Np 2.83
Br10 0.9613 0.0387 0.8806  2 Li 2.58-2.80, 1 Np 2.83

Results
V = 32.72 Å³/atom
energy = -4.51 eV/atom
mass density = 4.13 g/cm3


Entry 2:
The following is a DFT calculation (GGA-PBE) of Li2NpBr8 after structural relaxation.

Cell: 8.5593 8.5593 6.9010 Å, 93.67 93.67 51.88°
Last column: nearest neighbours and their distance in Å.
Fractional positions:
Li1 0.1614 0.1614 0.4482  4 Br 2.41-2.69
Li2 0.8386 0.8386 0.5518  4 Br 2.41-2.69
Np1 0.0000 0.0000 0.0000  6 Br 2.67-2.68
Br1 0.1513 0.1513 0.8296  1 Li 2.65, 1 Np 2.68
Br2 0.1827 0.6885 0.7502  1 Np 2.67, 1 Li 2.69
Br3 0.3115 0.8173 0.2498  1 Np 2.67, 1 Li 2.69
Br4 0.3132 0.3132 0.3856  1 Li 2.41
Br5 0.6868 0.6868 0.6143  1 Li 2.41
Br6 0.6885 0.1827 0.7502  1 Np 2.67, 1 Li 2.69
Br7 0.8173 0.3115 0.2498  1 Np 2.67, 1 Li 2.69
Br8 0.8487 0.8487 0.1704  1 Li 2.65, 1 Np 2.68

Results
V = 36.07 Å³/atom
energy = -3.76 eV/atom
mass density = 3.73 g/cm3


Entry 3:
The following is a DFT calculation (GGA-PBE) of LiNpBr5 after structural relaxation.

Cell: 7.5457 7.5457 10.6466 Å, 110.15 110.15 88.14°
Last column: nearest neighbours and their distance in Å.
Fractional positions:
Li1 0.1273 0.8727 0.7500  4 Br 2.55-2.59
Li2 0.8727 0.1273 0.2500  4 Br 2.55-2.59
Np1 0.0000 0.5000 0.0000  6 Br 2.74-2.86
Np2 0.5000 0.0000 0.5000  6 Br 2.74-2.86
Br1 0.1706 0.1739 0.4689  1 Li 2.55, 1 Np 2.74
Br2 0.1730 0.5884 0.8382  1 Li 2.59, 1 Np 2.74
Br3 0.1739 0.1706 0.9689  1 Li 2.55, 1 Np 2.74
Br4 0.3276 0.6724 0.2500  2 Np 2.86
Br5 0.4116 0.8270 0.6618  1 Li 2.59, 1 Np 2.74
Br6 0.5884 0.1730 0.3382  1 Li 2.59, 1 Np 2.74
Br7 0.6724 0.3276 0.7500  2 Np 2.86
Br8 0.8261 0.8294 0.0311  1 Li 2.55, 1 Np 2.74
Br9 0.8270 0.4116 0.1618  1 Li 2.59, 1 Np 2.74
Br10 0.8294 0.8261 0.5311  1 Li 2.55, 1 Np 2.74

Results
V = 37.98 Å³/atom
energy = -4.60 eV/atom
mass density = 4.02 g/cm3


Entry 4:
The following is a DFT calculation (GGA-PBE) of LiNpBr4 after structural relaxation.

Cell: 8.2815 8.2815 8.2815 Å, 122.57 116.43 90.95°
Last column: nearest neighbours and their distance in Å.
Fractional positions:
Li1 0.5000 0.0000 0.0000  6 Br 2.74-2.93
Li2 0.5000 0.5000 0.5000  6 Br 2.74-2.93
Np1 0.0000 0.0000 0.0000  6 Br 2.85-2.92
Np2 0.5000 0.0000 0.5000  6 Br 2.85-2.92
Br1 0.2475 0.2423 0.4948  2 Np 2.92, 1 Li 2.93
Br2 0.2475 0.7527 0.0052  2 Np 2.92, 1 Li 2.93
Br3 0.2791 0.2444 0.0348  2 Li 2.74, 1 Np 2.85
Br4 0.2904 0.7556 0.5348  2 Li 2.74, 1 Np 2.85
Br5 0.7096 0.2444 0.4652  2 Li 2.74, 1 Np 2.85
Br6 0.7209 0.7556 0.9652  2 Li 2.74, 1 Np 2.85
Br7 0.7525 0.2473 0.9948  2 Np 2.92, 1 Li 2.93
Br8 0.7525 0.7577 0.5052  2 Np 2.92, 1 Li 2.93

Results
V = 33.60 Å³/atom
energy = -4.97 eV/atom
mass density = 4.64 g/cm3


Entry 5:
The following is a DFT calculation (GGA-PBE) of LiNpBr2 after structural relaxation.

Cell: 9.1549 9.1549 9.1549 Å, 23.30 23.30 23.30°
Last column: nearest neighbours and their distance in Å.
Fractional positions:
Li1 0.0000 0.0000 0.0000  6 Br 2.66
Np1 0.5000 0.5000 0.5000  2 Br 2.86
Br1 0.3929 0.3929 0.3929  3 Li 2.66, 1 Np 2.86
Br2 0.6071 0.6071 0.6071  3 Li 2.66, 1 Np 2.86

Results
V = 26.35 Å³/atom
energy = -5.30 eV/atom
mass density = 6.36 g/cm3


Entry 6:
The following is a DFT calculation (GGA-PBE) of Li2NpBr6 after structural relaxation.

Cell: 6.9684 6.5692 13.7678 Å, 90.00 120.37 90.00°
Last column: nearest neighbours and their distance in Å.
Fractional positions:
Li1 0.1679 0.0010 0.1680  6 Br 2.76-2.89
Li2 0.1679 0.4990 0.6680  6 Br 2.76-2.89
Li3 0.8321 0.5010 0.3320  6 Br 2.76-2.89
Li4 0.8321 0.9990 0.8320  6 Br 2.76-2.89
Np1 0.5000 0.0000 0.0000  6 Br 2.78
Np2 0.5000 0.5000 0.5000  6 Br 2.78
Br1 0.1618 0.2367 0.8342  2 Li 2.77-2.88, 1 Np 2.78
Br2 0.1618 0.2633 0.3342  2 Li 2.77-2.88, 1 Np 2.78
Br3 0.1675 0.7319 0.5004  2 Li 2.77, 1 Np 2.78
Br4 0.1675 0.7681 0.0004  2 Li 2.77, 1 Np 2.78
Br5 0.4925 0.2385 0.1650  2 Li 2.76-2.89, 1 Np 2.78
Br6 0.4925 0.2615 0.6650  2 Li 2.76-2.89, 1 Np 2.78
Br7 0.5075 0.7385 0.3350  2 Li 2.76-2.89, 1 Np 2.78
Br8 0.5075 0.7615 0.8350  2 Li 2.76-2.89, 1 Np 2.78
Br9 0.8325 0.2319 0.9996  2 Li 2.77, 1 Np 2.78
Br10 0.8325 0.2681 0.4996  2 Li 2.77, 1 Np 2.78
Br11 0.8382 0.7367 0.6658  2 Li 2.77-2.88, 1 Np 2.78
Br12 0.8382 0.7633 0.1658  2 Li 2.77-2.88, 1 Np 2.78

Results
V = 30.21 Å³/atom
mass density = 4.46 g/cm3
distance to the lowest polymorph of the same formula = 0 meV per atom


Entry 7:
The following is a DFT calculation (GGA-PBE) of Li2NpBr6 after structural relaxation.

Cell: 6.6463 6.6463 12.1978 Å, 90.00 90.00 90.00°
Last column: nearest neighbours and their distance in Å.
Fractional positions:
Li1 0.0000 0.0000 0.1680  6 Br 2.74-2.83
Li2 0.0000 0.0000 0.8320  6 Br 2.74-2.83
Li3 0.5000 0.5000 0.3320  6 Br 2.74-2.83
Li4 0.5000 0.5000 0.6680  6 Br 2.74-2.83
Np1 0.0000 0.0000 0.5000  6 Br 2.77-2.80
Np2 0.5000 0.5000 0.0000  6 Br 2.77-2.80
Br1 0.1988 0.1988 0.3320  2 Li 2.74-2.83, 1 Np 2.77
Br2 0.1988 0.1988 0.6680  2 Li 2.74-2.83, 1 Np 2.77
Br3 0.2020 0.2020 0.0000  2 Li 2.79, 1 Np 2.80
Br4 0.2980 0.7020 0.5000  2 Li 2.79, 1 Np 2.80
Br5 0.3012 0.6988 0.1680  2 Li 2.74-2.83, 1 Np 2.77
Br6 0.3012 0.6988 0.8320  2 Li 2.74-2.83, 1 Np 2.77
Br7 0.6988 0.3012 0.1680  2 Li 2.74-2.83, 1 Np 2.77
Br8 0.6988 0.3012 0.8320  2 Li 2.74-2.83, 1 Np 2.77
Br9 0.7020 0.2980 0.5000  2 Li 2.79, 1 Np 2.80
Br10 0.7980 0.7980 0.0000  2 Li 2.79, 1 Np 2.80
Br11 0.8012 0.8012 0.3320  2 Li 2.74-2.83, 1 Np 2.77
Br12 0.8012 0.8012 0.6680  2 Li 2.74-2.83, 1 Np 2.77

Results
V = 29.93 Å³/atom
mass density = 4.50 g/cm3
distance to the lowest polymorph of the same formula = 14 meV per atom


Entry 8:
The following is a DFT calculation (GGA-PBE) of Li3NpBr6 after structural relaxation.

Cell: 7.0774 7.2387 13.0050 Å, 90.00 122.50 90.00°
Last column: nearest neighbours and their distance in Å.
Fractional positions:
Li1 0.0000 0.0000 0.0000  4 Br 2.66-2.80
Li2 0.0000 0.5000 0.5000  4 Br 2.66-2.80
Li3 0.2608 0.0137 0.7409  4 Br 2.62-2.80
Li4 0.2608 0.4863 0.2409  4 Br 2.62-2.80
Li5 0.7392 0.5137 0.7591  4 Br 2.62-2.80
Li6 0.7392 0.9863 0.2591  4 Br 2.62-2.80
Np1 0.5000 0.0000 0.5000  6 Br 2.87-2.94
Np2 0.5000 0.5000 0.0000  6 Br 2.87-2.94
Br1 0.0822 0.1801 0.4310  2 Li 2.65-2.66, 1 Np 2.90
Br2 0.0822 0.3199 0.9310  2 Li 2.65-2.66, 1 Np 2.90
Br3 0.2509 0.6609 0.4149  2 Li 2.63-2.80, 1 Np 2.87
Br4 0.2509 0.8391 0.9149  2 Li 2.63-2.80, 1 Np 2.87
Br5 0.3936 0.1178 0.2578  2 Li 2.62-2.80
Br6 0.3936 0.3822 0.7578  2 Li 2.62-2.80
Br7 0.6064 0.6178 0.2422  2 Li 2.62-2.80
Br8 0.6064 0.8822 0.7422  2 Li 2.62-2.80
Br9 0.7491 0.1609 0.0851  2 Li 2.63-2.80, 1 Np 2.87
Br10 0.7491 0.3391 0.5851  2 Li 2.63-2.80, 1 Np 2.87
Br11 0.9178 0.6801 0.0690  2 Li 2.65-2.66, 1 Np 2.90
Br12 0.9178 0.8199 0.5690  2 Li 2.65-2.66, 1 Np 2.90

Results
V = 28.10 Å³/atom
mass density = 4.36 g/cm3
distance to the lowest polymorph of the same formula = 0 meV per atom


Entry 9:
The following is a DFT calculation (GGA-PBE) of Li3NpBr6 after structural relaxation.

Cell: 7.9124 7.9148 7.9172 Å, 61.13 61.36 61.36°
Last column: nearest neighbours and their distance in Å.
Fractional positions:
Li1 0.0000 0.0000 0.0000  6 Br 2.76-2.79
Li2 0.0000 0.0000 0.5000  4 Br 2.57-2.75
Li3 0.0000 0.5000 0.0000  4 Br 2.57-2.74
Np1 0.5000 0.5000 0.5000  6 Br 2.88-2.91
Br1 0.2203 0.2717 0.7746  2 Li 2.57-2.78
Br2 0.2242 0.7786 0.2681  2 Li 2.57-2.79
Br3 0.2292 0.7565 0.7567  3 Li 2.74-2.76, 1 Np 2.91
Br4 0.7708 0.2435 0.2433  3 Li 2.74-2.76, 1 Np 2.91
Br5 0.7758 0.2214 0.7319  2 Li 2.57-2.79
Br6 0.7797 0.7283 0.2254  2 Li 2.57-2.78

Results
V = 36.07 Å³/atom
mass density = 3.39 g/cm3
distance to the lowest polymorph of the same formula = 17 meV per atom